DFT (GGA-PBE) results for a geometry-optimized Be2SbOs structure. Values from VASP.

Cell and atoms, written as Quantum ESPRESSO input:
```
&SYSTEM
  ibrav = 0, nat = 4, ntyp = 3
/
ATOMIC_SPECIES
Be 9.01 Be.upf
Sb 121.76 Sb.upf
Os 190.23 Os.upf
ATOMIC_POSITIONS crystal
Be 0.000 0.000 0.000
Be 0.697 0.697 0.095
Sb 0.187 0.187 0.560
Os 0.389 0.389 0.170
CELL_PARAMETERS angstrom
3.416 -1.966 0.000
3.416 1.966 0.000
-2.268 0.000 4.409
```

Properties
**ΔE_f (raw)**: 107 meV per atom
**SG**: Cm (8)
**Electronic total energy**: -22.38 eV for the cell shown